i.
DFT (PBE) results for a relaxed structure of La3Cl.

Cell and atoms, written as CIF:
```
data_La3Cl
_chemical_formula_sum 'La3 Cl1'
_symmetry_space_group_name_H-M 'P 4/m m m'
_symmetry_Int_Tables_number 123
_symmetry_space_group_name_Hall '-P 4 2'
_cell_length_a 3.6048
_cell_length_b 3.6048
_cell_length_c 9.6629
_cell_angle_alpha 90.00
_cell_angle_beta 90.00
_cell_angle_gamma 90.00
loop_
_atom_site_label
_atom_site_fract_x
_atom_site_fract_y
_atom_site_fract_z
La1 0.0000 0.0000 0.0000
La2 0.5000 0.5000 0.2703
Cl1 0.0000 0.0000 0.5000
```

ii.
DFT (PBE) results for a relaxed structure of La3Cl.

Cell and atoms, written as CIF:
```
data_La3Cl
_chemical_formula_sum 'La3 Cl1'
_symmetry_space_group_name_H-M 'P -6 m 2'
_symmetry_Int_Tables_number 187
_symmetry_space_group_name_Hall 'P -6 2'
_cell_length_a 3.7664
_cell_length_b 3.7664
_cell_length_c 10.4953
_cell_angle_alpha 90.00
_cell_angle_beta 90.00
_cell_angle_gamma 120.00
loop_
_atom_site_label
_atom_site_fract_x
_atom_site_fract_y
_atom_site_fract_z
La1 0.0000 0.0000 0.0000
La2 0.6667 0.3333 0.2878
Cl1 0.0000 0.0000 0.5000
```

Most stable pick: ii. Distance to second place: 124 meV per atom.

i.
DFT (PBE) results for a relaxed structure of La3Cl.

Cell and atoms, written as CIF:
```
data_La3Cl
_chemical_formula_sum 'La6 Cl2'
_symmetry_space_group_name_H-M 'I 4/m m m'
_symmetry_Int_Tables_number 139
_symmetry_space_group_name_Hall '-I 4 2'
_cell_length_a 4.7894
_cell_length_b 4.7894
_cell_length_c 10.8730
_cell_angle_alpha 90.00
_cell_angle_beta 90.00
_cell_angle_gamma 90.00
loop_
_atom_site_label
_atom_site_fract_x
_atom_site_fract_y
_atom_site_fract_z
La1 0.0000 0.0000 0.0000
La2 0.0000 0.5000 0.2500
Cl1 0.0000 0.0000 0.5000
```

ii.
DFT (PBE) results for a relaxed structure of La3Cl.

Cell and atoms, written as CIF:
```
data_La3Cl
_chemical_formula_sum 'La3 Cl1'
_symmetry_space_group_name_H-M 'P 1 2/m 1'
_symmetry_Int_Tables_number 10
_cell_length_a 3.8240
_cell_length_b 6.0112
_cell_length_c 5.5246
_cell_angle_alpha 90.00
_cell_angle_beta 93.68
_cell_angle_gamma 90.00
loop_
_symmetry_equiv_pos_as_xyz
'x,y,z'
'-x,-y,-z'
'-x,y,-z'
'x,-y,z'
loop_
_atom_site_label
_atom_site_fract_x
_atom_site_fract_y
_atom_site_fract_z
La1 0.0000 0.0000 0.0000
La2 0.3265 0.5000 0.7618
Cl1 0.5000 0.0000 0.5000
```

iii.
DFT (PBE) results for a relaxed structure of La3Cl.

Cell and atoms, written as CIF:
```
data_La3Cl
_chemical_formula_sum 'La6 Cl2'
_symmetry_space_group_name_H-M 'I m m 2'
_symmetry_Int_Tables_number 44
_cell_length_a 3.7671
_cell_length_b 9.9941
_cell_length_c 6.6316
_cell_angle_alpha 90.00
_cell_angle_beta 90.00
_cell_angle_gamma 90.00
loop_
_symmetry_equiv_pos_as_xyz
'x,y,z'
'-x,-y,z'
'-x,y,z'
'x,-y,z'
'x+1/2,y+1/2,z+1/2'
'-x+1/2,-y+1/2,z+1/2'
'-x+1/2,y+1/2,z+1/2'
'x+1/2,-y+1/2,z+1/2'
loop_
_atom_site_label
_atom_site_fract_x
_atom_site_fract_y
_atom_site_fract_z
La1 0.0000 0.0000 0.0000
La2 0.0000 0.1963 0.5876
Cl1 0.0000 0.5000 0.8490
```

Most stable pick: iii. Distance to second place: 177 meV per atom.

i.
DFT (PBE) results for a relaxed structure of LiLaCl4.

Cell and atoms, written as CIF:
```
data_LiLaCl4
_chemical_formula_sum 'Li4 La4 Cl16'
_symmetry_space_group_name_H-M 'F -4 3 m'
_symmetry_Int_Tables_number 216
_symmetry_space_group_name_Hall 'F -4 2 3'
_cell_length_a 8.4483
_cell_length_b 8.4483
_cell_length_c 8.4483
_cell_angle_alpha 90.00
_cell_angle_beta 90.00
_cell_angle_gamma 90.00
loop_
_atom_site_label
_atom_site_fract_x
_atom_site_fract_y
_atom_site_fract_z
Li1 0.0000 0.0000 0.0000
La1 0.2500 0.2500 0.2500
Cl1 0.1253 0.1253 0.6253
```

ii.
DFT (PBE) results for a relaxed structure of LiLaCl4.

Cell and atoms, written as CIF:
```
data_LiLaCl4
_chemical_formula_sum 'Li4 La4 Cl16'
_symmetry_space_group_name_H-M 'C 1 2/c 1'
_symmetry_Int_Tables_number 15
_cell_length_a 14.9252
_cell_length_b 6.7536
_cell_length_c 6.7470
_cell_angle_alpha 90.00
_cell_angle_beta 116.57
_cell_angle_gamma 90.00
loop_
_symmetry_equiv_pos_as_xyz
'x,y,z'
'-x,-y,-z'
'-x,y,-z+1/2'
'x,-y,z+1/2'
'x+1/2,y+1/2,z'
'-x+1/2,-y+1/2,-z'
'-x+1/2,y+1/2,-z+1/2'
'x+1/2,-y+1/2,z+1/2'
loop_
_atom_site_label
_atom_site_fract_x
_atom_site_fract_y
_atom_site_fract_z
Li1 0.2500 0.2500 0.0000
La1 0.0000 0.2504 0.2500
Cl1 0.1178 0.0641 0.0519
Cl2 0.1184 0.4361 0.6810
```

Most stable pick: ii. Distance to second place: 1472 meV per atom.

i.
DFT (PBE) results for a relaxed structure of LiLaCl3.

Cell and atoms, written as CIF:
```
data_LiLaCl3
_chemical_formula_sum 'Li1 La1 Cl3'
_symmetry_space_group_name_H-M 'P m -3 m'
_symmetry_Int_Tables_number 221
_symmetry_space_group_name_Hall '-P 4 2 3'
_cell_length_a 5.6279
_cell_length_b 5.6279
_cell_length_c 5.6279
_cell_angle_alpha 90.00
_cell_angle_beta 90.00
_cell_angle_gamma 90.00
loop_
_atom_site_label
_atom_site_fract_x
_atom_site_fract_y
_atom_site_fract_z
Li1 0.0000 0.0000 0.0000
La1 0.5000 0.5000 0.5000
Cl1 0.0000 0.5000 0.5000
```

ii.
DFT (PBE) results for a relaxed structure of LiLaCl3.

Cell and atoms, written as CIF:
```
data_LiLaCl3
_chemical_formula_sum 'Li4 La4 Cl12'
_symmetry_space_group_name_H-M 'P 1 21/c 1'
_symmetry_Int_Tables_number 14
_cell_length_a 7.1677
_cell_length_b 6.8677
_cell_length_c 11.4777
_cell_angle_alpha 90.00
_cell_angle_beta 117.04
_cell_angle_gamma 90.00
loop_
_symmetry_equiv_pos_as_xyz
'x,y,z'
'-x,-y,-z'
'-x,y+1/2,-z+1/2'
'x,-y+1/2,z+1/2'
loop_
_atom_site_label
_atom_site_fract_x
_atom_site_fract_y
_atom_site_fract_z
Li1 0.2268 0.1544 0.3757
La1 0.3653 0.6352 0.2768
Cl1 0.0093 0.5733 0.7173
Cl2 0.2318 0.1770 0.5847
Cl3 0.4271 0.7090 0.5567
```

Most stable pick: ii. Distance to second place: 279 meV per atom.